Entry 1:
An optimized crystal structure of YCuI2O, computed with PBE-GGA.

## Properties
**Raw total energy**: -22.879 eV/cell
**Formation energy from raw total energies**: -0.85 eV per atom
**Energy above the most stable polymorph in this dataset**: 0.000 eV/atom
**SG**: P4/mmm, No. 123

abc: 6.1490 6.1490 4.1538
angles: 90.00 90.00 90.00
Last column: nearest neighbours and their distance in Å.
Fractional positions:
Y 0.0000 0.0000 0.0000  2 O 2.08
Cu 0.5000 0.5000 0.5000  8 I 3.71, 2 Cu 4.15
I 0.0000 0.5000 0.0000  2 Y 3.07
I 0.5000 0.0000 0.0000  2 Y 3.07
O 0.0000 0.0000 0.5000  2 Y 2.08

Entry 2:
An optimized crystal structure of YCuIO2, computed with PBE-GGA.

## Properties
**Raw total energy**: -27.151 eV/cell
**Formation energy from raw total energies**: -1.02 eV per atom
**Energy above the most stable polymorph in this dataset**: 0.000 eV/atom
**SG**: P4/mmm, No. 123

abc: 4.2334 4.2334 6.6333
angles: 90.00 90.00 90.00
Last column: nearest neighbours and their distance in Å.
Fractional positions:
Y 0.0000 0.0000 0.0000  4 O 2.12
Cu 0.5000 0.5000 0.5000  4 I 2.99
I 0.0000 0.0000 0.5000  4 Cu 2.99, 2 Y 3.32
O 0.0000 0.5000 0.0000  2 Y 2.12
O 0.5000 0.0000 0.0000  2 Y 2.12

| no. | theoretical density (g/cm3) |
| --- | --- |
| 1 | 4.46 |
| 2 | 4.35 |